# 1
First-principles (GGA-PBE) data for an optimized crystal structure of La12Er2Tm5, as listed in the Alexandria database.

The structure belongs to space group C2/m (No. 12); the cell edges are 16.017, 9.386 and 8.814 Å and the angles 90.00°, 91.73° and 90.00°. Symmetry generates all atoms from La at (0.064, 0.000, 0.347), La at (0.085, 0.500, 0.888), La at (0.129, 0.198, 0.681), La at (0.153, 0.315, 0.239), Er at (0.000, 0.169, 0.000), Tm at (0.000, 0.500, 0.500), Tm at (0.200, 0.000, 0.030) and Tm at (0.230, 0.500, 0.570).

The value obtained for the total energy is -0.34225 Ry per atom. For the calculated volume, the calculation gives 34.85 Å³/atom. The formation energy comes out at 10.9 kJ per mole of atoms. Its theoretical density is 7.137 g cm⁻³. The magnetization comes out at 0.0 Bohr magnetons per cell.

=====

# 2
First-principles (GGA-PBE) data for an optimized crystal structure of La5Pm2NdCd, as listed in the Alexandria database.

The structure belongs to space group Cmc2_1 (No. 36); the cell edges are 5.703, 20.091 and 11.118 Å and the angles 90.00°, 90.00° and 90.00°. Symmetry generates all atoms from La at (0.000, 0.000, 0.000), La at (0.000, 0.121, 0.250), La at (0.000, 0.211, 0.549), La at (0.000, 0.211, 0.950), La at (0.000, 0.489, 0.250), Pm at (0.000, 0.384, 0.543), Pm at (0.000, 0.384, 0.957), Nd at (0.000, 0.309, 0.249) and Cd at (0.000, 0.092, 0.750).

The value obtained for the total energy is -0.32398 Ry per atom. For the calculated volume, the calculation gives 35.38 Å³/atom. The formation energy comes out at 1.6 kJ per mole of atoms. Its theoretical density is 6.472 g cm⁻³. The magnetization comes out at 0.0 Bohr magnetons per cell.

=====

# 3
First-principles (GGA-PBE) data for an optimized crystal structure of TiBeNbO2, as listed in the Alexandria database.

The structure belongs to space group P4/mmm (No. 123); the cell edges are 3.724, 3.724 and 4.766 Å and the angles 90.00°, 90.00° and 90.00°. Symmetry generates all atoms from Ti at (0.000, 0.000, 0.000), Be at (0.000, 0.000, 0.500), Nb at (0.500, 0.500, 0.500) and O at (0.000, 0.500, 0.000).

The uncorrected formation energy is -0.77 eV/atom. The value obtained for the total energy is -0.52143 Ry per atom. For the calculated volume, the calculation gives 13.22 Å³/atom. Its theoretical density is 4.568 g cm⁻³. The magnetization comes out at 0.0 Bohr magnetons per cell.

=====

# 4
First-principles (GGA-PBE) data for an optimized crystal structure of Pd4Pt3W, as listed in the Alexandria database.

The structure belongs to space group Immm (No. 71); the cell edges are 2.738, 8.773 and 10.690 Å and the angles 90.00°, 90.00° and 90.00°. Symmetry generates all atoms from Pd at (0.000, 0.240, 0.126), Pt at (0.000, 0.000, 0.286), Pt at (0.000, 0.500, 0.500) and W at (0.000, 0.500, 0.000).

The value obtained for the total energy is -0.47670 Ry per atom. For the calculated volume, the calculation gives 16.05 Å³/atom. The formation energy comes out at -0.5 kJ per mole of atoms. Its theoretical density is 15.451 g cm⁻³. The magnetization comes out at 0.0 Bohr magnetons per cell.

=====

# 5
First-principles (GGA-PBE) data for an optimized crystal structure of ErZrNiHg, as listed in the Alexandria database.

The structure belongs to space group F-43m (No. 216); the cell edges are 6.924, 6.924 and 6.924 Å and the angles 90.00°, 90.00° and 90.00°. Symmetry generates all atoms from Er at (0.000, 0.000, 0.000), Zr at (0.000, 0.000, 0.500), Ni at (0.250, 0.250, 0.250) and Hg at (0.250, 0.250, 0.750).

The value obtained for the total energy is -0.36683 Ry per atom. For the calculated volume, the calculation gives 20.74 Å³/atom. The formation energy comes out at -18.6 kJ per mole of atoms. Its theoretical density is 10.362 g cm⁻³. The magnetization comes out at 0.0 Bohr magnetons per cell.

=====

# 6
First-principles (GGA-PBE) data for an optimized crystal structure of K3Th3MnTe8, as listed in the Alexandria database.

The structure belongs to space group R-3m (No. 166, hexagonal axes); the cell edges are 8.9276, 8.9276 and 25.4755 Å and the angles 90.00°, 90.00° and 120.00°. Symmetry generates all atoms from K at (0.0000, 0.5000, 0.0000), Th at (0.0000, 0.5000, 0.5000), Mn at (0.0000, 0.0000, 0.5000), Te at (0.0000, 0.0000, 0.2404) and Te at (0.0134, 0.5067, 0.2339).

The uncorrected formation energy is -1.03 eV/atom. The value obtained for the total energy is -0.36934 Ry per atom. For the calculated volume, the calculation gives 39.07 Å³/atom. Its theoretical density is 5.353 g cm⁻³. The magnetization comes out at 14.2 Bohr magnetons per cell.

=====

# 7
First-principles (GGA-PBE) data for an optimized crystal structure of Sr2Li5Al12, as listed in the Alexandria database.

The structure belongs to space group R-3m (No. 166, hexagonal axes); the cell edges are 9.4995, 9.4995 and 13.7593 Å and the angles 90.00°, 90.00° and 120.00°. Symmetry generates all atoms from Sr at (0.0000, 0.0000, 0.1597), Li at (0.0000, 0.0000, 0.4021), Li at (0.0000, 0.5000, 0.0000), Al at (0.0000, 0.2848, 0.5000) and Al at (0.0033, 0.5016, 0.6504).

The value obtained for the total energy is -0.23745 Ry per atom. For the calculated volume, the calculation gives 18.86 Å³/atom. The formation energy comes out at -18.0 kJ per mole of atoms. Its theoretical density is 2.473 g cm⁻³. The magnetization comes out at 0.0 Bohr magnetons per cell.

=====

# 8
First-principles (GGA-PBE) data for an optimized crystal structure of Li2HgTeSe4, as listed in the Alexandria database.

The structure belongs to space group C2/c (No. 15); the cell edges are 11.098, 11.619 and 7.919 Å and the angles 90.00°, 132.97° and 90.00°. Symmetry generates all atoms from Li at (0.000, 0.000, 0.000), Li at (0.250, 0.250, 0.000), Hg at (0.250, 0.250, 0.500), Te at (0.000, 0.500, 0.000), Se at (0.030, 0.254, 0.531) and Se at (0.248, 0.480, 0.993).

The uncorrected formation energy is -0.45 eV/atom. The value obtained for the total energy is -0.22789 Ry per atom. For the calculated volume, the calculation gives 23.35 Å³/atom. Its theoretical density is 5.848 g cm⁻³. The magnetization comes out at 0.0 Bohr magnetons per cell.